A geometry-optimized AcNiTe2O8 structure, computed with PBE+U.

Unit cell a=6.345 b=6.345 c=6.345 alpha=107.88 beta=107.88 gamma=112.70
Each line ends with the local moment (μB).
Positions (direct):
O 0.756 0.075 0.681  0.00
O 0.393 0.075 0.319  0.00
O 0.925 0.607 0.681  0.00
O 0.878 0.678 0.199  -0.06
O 0.322 0.521 0.199  -0.06
O 0.479 0.678 0.801  -0.06
O 0.322 0.122 0.801  -0.06
Ni 0.250 0.750 0.500  1.74
O 0.925 0.244 0.319  0.00
Te 0.500 0.500 0.000  -0.06
Te 0.750 0.250 0.500  0.00
Ac 0.000 0.000 0.000  0.00

Computed properties:
**DFT total energy**: -5.65 eV/atom
**Mass density**: 5.7 g cm⁻³